Al2B2O7 | PBE | relaxed

Lattice parameters (Å, degrees): 4.4424 4.8400 4.8400 109.77 99.96 99.96
Fractional positions:
B: 0.8668 0.2205 0.2205
B: 0.1332 0.7795 0.7795
O: 0.0000 0.0000 0.0000
O: 0.7836 0.6509 0.6509
O: 0.2164 0.3491 0.3491
O: 0.2914 0.9108 0.6034
O: 0.7086 0.3966 0.0892
O: 0.2914 0.6034 0.9108
O: 0.7086 0.0892 0.3966
Al: 0.5000 0.6898 0.3102
Al: 0.5000 0.3102 0.6898

Uncorrected formation energy (eV/f.u.): -25.0

Al2BPbO6 | PBE | relaxed

Lattice parameters (Å, degrees): 5.9551 6.8372 6.8372 79.43 67.99 67.99
Fractional positions:
Pb: 0.7500 0.1872 0.8128
Pb: 0.2500 0.8128 0.1872
Al: 0.1420 0.3671 0.2254
Al: 0.6420 0.2254 0.3671
Al: 0.8580 0.6329 0.7746
Al: 0.3580 0.7746 0.6329
O: 0.4847 0.1766 0.6386
O: 0.9847 0.6386 0.1766
O: 0.5927 0.5998 0.7392
O: 0.6954 0.8121 0.9863
O: 0.0153 0.3614 0.8234
O: 0.9073 0.2608 0.4002
O: 0.3046 0.1879 0.0137
O: 0.1954 0.9863 0.8121
O: 0.4073 0.4002 0.2608
O: 0.5153 0.8234 0.3614
O: 0.8046 0.0137 0.1879
O: 0.0927 0.7392 0.5998
B: 0.2500 0.1815 0.8185
B: 0.7500 0.8185 0.1815

Uncorrected formation energy (eV/f.u.): -22.4

AlB2Pb2O6 | PBE | relaxed

Lattice parameters (Å, degrees): 5.0586 5.0670 8.4025 115.96 90.00 119.95
Fractional positions:
O: 0.7522 0.5045 0.6695
O: 0.7391 0.9564 0.6534
O: 0.2478 0.4955 0.3305
O: 0.2609 0.0436 0.3466
O: 0.2174 0.9564 0.6534
O: 0.7826 0.0436 0.3466
B: 0.8996 0.7991 0.6484
B: 0.1004 0.2009 0.3516
Pb: 0.6820 0.3639 0.2223
Pb: 0.3180 0.6361 0.7777
Al: 0.5000 0.0000 0.5000

Uncorrected formation energy (eV/f.u.): -22.2

PmAlB2O6 | PBE | relaxed

Lattice parameters (Å, degrees): 4.7901 4.7901 5.9280 66.17 66.17 60.00
Fractional positions:
O: 0.9279 0.4986 0.2822
O: 0.5014 0.7086 0.7178
O: 0.7086 0.0721 0.7178
O: 0.2914 0.9279 0.2822
O: 0.4986 0.2914 0.2822
O: 0.0721 0.5014 0.7178
B: 0.7644 0.7644 0.7068
B: 0.2356 0.2356 0.2932
Pm: 0.0000 0.0000 0.0000
Al: 0.5000 0.5000 0.5000

Uncorrected formation energy (eV/f.u.): -28.9

PrAl3B4O12 | PBE | relaxed

Lattice parameters (Å, degrees): 5.9746 5.9746 5.9746 104.10 104.10 104.10
Fractional positions:
O: 0.9732 0.2269 0.3806
O: 0.9099 0.5000 0.0901
O: 0.3806 0.9732 0.2269
O: 0.6485 0.5000 0.3515
O: 0.0901 0.9099 0.5000
O: 0.5000 0.3515 0.6485
O: 0.6194 0.7731 0.0268
O: 0.3515 0.6485 0.5000
O: 0.5000 0.0901 0.9099
O: 0.7731 0.0268 0.6194
O: 0.0268 0.6194 0.7731
O: 0.2269 0.3806 0.9732
B: 0.5000 0.5000 0.5000
B: 0.9413 0.0587 0.5000
B: 0.0587 0.5000 0.9413
B: 0.5000 0.9413 0.0587
Al: 0.5558 0.4442 0.0000
Al: 0.0000 0.5558 0.4442
Al: 0.4442 0.0000 0.5558
Pr: 0.0000 0.0000 0.0000

ΔE to the lowest computed polymorph (eV per atom): 0.0022
Uncorrected formation energy (eV/f.u.): -56.2

PrAl3B4O12 | PBE | relaxed

Lattice parameters (Å, degrees): 5.9827 5.9827 11.2725 81.66 81.66 104.23
Fractional positions:
O: 0.8970 0.4224 0.2949
O: 0.8054 0.0029 0.4397
O: 0.7292 0.6446 0.7570
O: 0.3687 0.1303 0.0039
O: 0.5776 0.1030 0.2051
O: 0.1030 0.5776 0.7051
O: 0.0029 0.8054 0.9397
O: 0.5070 0.3032 0.4254
O: 0.6446 0.7292 0.2570
O: 0.6968 0.4930 0.0746
O: 0.3554 0.2708 0.7430
O: 0.8189 0.3058 0.8630
O: 0.6942 0.1811 0.6370
O: 0.6313 0.8697 0.9961
O: 0.1946 0.9971 0.5603
O: 0.8697 0.6313 0.4961
O: 0.9971 0.1946 0.0603
O: 0.1811 0.6942 0.1370
O: 0.3032 0.5070 0.9254
O: 0.2708 0.3554 0.2430
O: 0.4224 0.8970 0.7949
O: 0.4930 0.6968 0.5746
O: 0.1303 0.3687 0.5039
O: 0.3058 0.8189 0.3630
B: 0.4919 0.1219 0.7223
B: 0.8781 0.5081 0.7777
B: 0.7193 0.7769 0.5061
B: 0.2231 0.2807 0.9939
B: 0.7769 0.7193 0.0061
B: 0.2807 0.2231 0.4939
B: 0.1219 0.4919 0.2223
B: 0.5081 0.8781 0.2777
Pr: 0.0370 0.9630 0.2500
Pr: 0.9630 0.0370 0.7500
Al: 0.4110 0.5890 0.7500
Al: 0.6943 0.1957 0.0282
Al: 0.8043 0.3057 0.4718
Al: 0.1957 0.6943 0.5282
Al: 0.3057 0.8043 0.9718
Al: 0.5890 0.4110 0.2500

ΔE to the lowest computed polymorph (eV per atom): 0.0000
Uncorrected formation energy (eV/f.u.): -56.2

PuAl3B4O12 | PBE | relaxed

Lattice parameters (Å, degrees): 5.9642 5.9642 5.9642 104.09 104.09 104.09
Site moments in Bohr magnetons follow the coordinates.
Fractional positions:
O: 0.9097 0.5000 0.0903  0.00
O: 0.5000 0.0903 0.9097  0.00
O: 0.7736 0.0274 0.6209  -0.01
O: 0.3513 0.6487 0.5000  0.00
O: 0.6487 0.5000 0.3513  0.00
O: 0.9726 0.2264 0.3791  -0.01
O: 0.0903 0.9097 0.5000  0.00
O: 0.0274 0.6209 0.7736  -0.01
O: 0.2264 0.3791 0.9726  -0.01
O: 0.3791 0.9726 0.2264  -0.01
O: 0.6209 0.7736 0.0274  -0.01
O: 0.5000 0.3513 0.6487  0.00
B: 0.0584 0.5000 0.9416  0.00
B: 0.5000 0.5000 0.5000  0.00
B: 0.5000 0.9416 0.0584  0.00
B: 0.9416 0.0584 0.5000  0.00
Al: 0.4438 0.0000 0.5562  0.00
Al: 0.5562 0.4438 0.0000  0.00
Al: 0.0000 0.5562 0.4438  0.00
Pu: 0.0000 0.0000 0.0000  4.96

Uncorrected formation energy (eV/f.u.): -54.5

PuAlB2O6 | PBE | relaxed

Lattice parameters (Å, degrees): 4.7829 4.7829 5.9731 66.40 66.40 60.00
Site moments in Bohr magnetons follow the coordinates.
Fractional positions:
B: 0.7652 0.7652 0.7044  0.01
B: 0.2348 0.2348 0.2956  0.01
O: 0.0731 0.5011 0.7152  -0.01
O: 0.7105 0.0731 0.7152  -0.01
O: 0.5011 0.7105 0.7152  -0.01
O: 0.9269 0.4989 0.2848  -0.01
O: 0.2895 0.9269 0.2848  -0.01
O: 0.4989 0.2895 0.2848  -0.01
Al: 0.5000 0.5000 0.5000  0.00
Pu: 0.0000 0.0000 0.0000  5.01

Uncorrected formation energy (eV/f.u.): -27.2

Rb2Al2B2O7 | PBE | relaxed

Lattice parameters (Å, degrees): 7.6322 9.0337 12.1972 104.92 90.00 90.00
Fractional positions:
B: 0.9074 0.1530 0.9117
B: 0.3779 0.3178 0.0568
B: 0.0926 0.8470 0.0883
B: 0.1221 0.3178 0.5568
B: 0.5926 0.1530 0.4117
B: 0.8779 0.6822 0.4432
B: 0.4074 0.8470 0.5883
B: 0.6221 0.6822 0.9432
Al: 0.3766 0.6577 0.1217
Al: 0.4226 0.1857 0.6340
Al: 0.9226 0.8143 0.8660
Al: 0.5774 0.8143 0.3660
Al: 0.8766 0.3423 0.3783
Al: 0.0774 0.1857 0.1340
Al: 0.6234 0.3423 0.8783
Al: 0.1234 0.6577 0.6217
O: 0.8206 0.2359 0.8472
O: 0.6980 0.7947 0.8993
O: 0.1794 0.7641 0.1528
O: 0.4775 0.7240 0.0119
O: 0.3020 0.2053 0.1007
O: 0.5225 0.2760 0.9881
O: 0.3086 0.4637 0.0821
O: 0.5520 0.2233 0.5229
O: 0.6914 0.5363 0.9179
O: 0.8020 0.7947 0.3993
O: 0.9855 0.6867 0.7392
O: 0.0520 0.7767 0.9771
O: 0.0421 0.9951 0.1411
O: 0.1914 0.4637 0.5821
O: 0.5145 0.6867 0.2392
O: 0.5421 0.0049 0.3589
O: 0.8086 0.5363 0.4179
O: 0.4855 0.3133 0.7608
O: 0.4579 0.9951 0.6411
O: 0.0145 0.3133 0.2608
O: 0.9775 0.2760 0.4881
O: 0.3206 0.7641 0.6528
O: 0.4480 0.7767 0.4771
O: 0.9480 0.2233 0.0229
O: 0.0225 0.7240 0.5119
O: 0.6794 0.2359 0.3472
O: 0.9579 0.0049 0.8589
O: 0.1980 0.2053 0.6007
Rb: 0.8678 0.5450 0.1504
Rb: 0.1322 0.4550 0.8496
Rb: 0.3678 0.4550 0.3496
Rb: 0.1356 0.9609 0.3726
Rb: 0.6356 0.0391 0.1274
Rb: 0.3644 0.9609 0.8726
Rb: 0.8644 0.0391 0.6274
Rb: 0.6322 0.5450 0.6504

Uncorrected formation energy (eV/f.u.): -33.9

RbAl2BO | PBE | relaxed

Lattice parameters (Å, degrees): 4.2487 5.7707 4.2487 90.00 90.00 90.00
Fractional positions:
O: 0.0000 0.0000 0.0000
Al: 0.0000 0.0000 0.5000
Al: 0.5000 0.0000 0.0000
Rb: 0.5000 0.5000 0.5000
B: 0.0000 0.5000 0.0000

Uncorrected formation energy (eV/f.u.): 3.6